Run 1
## DyZn3Ni (PBE)

Data for crystalline DyZn3Ni at its relaxed geometry.

Properties
Crystal system: orthorhombic
N(E_F): 5.9 states/eV per cell
Space group: Cmcm, No. 63
Total magnetic moment: 0.0 μB per formula unit

abc: 4.2458 5.1483 8.0444
angles: 90.00 105.27 90.00
Fractional positions:
Zn 0.7039 0.5005 0.9079
Zn 0.7039 0.9995 0.9079
Zn 0.4427 0.7500 0.3843
Dy 0.9191 0.2500 0.3382
Zn 0.2961 0.4995 0.0921
Ni 0.8501 0.7500 0.1983
Ni 0.1499 0.2500 0.8017
Dy 0.0809 0.7500 0.6618
Zn 0.2961 0.0005 0.0921
Zn 0.5573 0.2500 0.6157

***

Run 2
## DyZn3Ni (PBE)

Data for crystalline DyZn3Ni at its relaxed geometry.

Properties
Crystal system: cubic
N(E_F): 3.5 states/eV per cell
Space group: Pm-3m, No. 221
Total magnetic moment: 0.0 μB per formula unit

abc: 4.5379 4.5379 4.5379
angles: 90.00 90.00 90.00
Fractional positions:
Dy 0.5000 0.5000 0.5000
Zn 0.0000 0.5000 0.0000
Zn 0.0000 0.0000 0.5000
Zn 0.5000 0.0000 0.0000
Ni 0.0000 0.0000 0.0000

***

The most stable of them is run 1.

***

Run 1
## Dy4Zn3Ni (PBE)

Data for crystalline Dy4Zn3Ni at its relaxed geometry.

Properties
Crystal system: tetragonal
N(E_F): 5.9 states/eV per cell
Space group: P4/mmm, No. 123
Total magnetic moment: 0.0 μB per formula unit

abc: 3.5148 3.5148 14.0846
angles: 90.00 90.00 90.00
Fractional positions:
Dy 0.0000 0.0000 0.1148
Dy 0.0000 0.0000 0.8852
Zn 0.5000 0.5000 0.2455
Dy 0.0000 0.0000 0.3721
Ni 0.5000 0.5000 0.0000
Dy 0.0000 0.0000 0.6279
Zn 0.5000 0.5000 0.5000
Zn 0.5000 0.5000 0.7545

***

Run 2
## Dy4Zn3Ni (PBE)

Data for crystalline Dy4Zn3Ni at its relaxed geometry.

Properties
Crystal system: orthorhombic
N(E_F): 8.9 states/eV per cell
Space group: Pmm2, No. 25
Total magnetic moment: 0.0 μB per formula unit

abc: 3.6868 4.5037 10.8543
angles: 90.00 90.00 90.00
Fractional positions:
Dy 0.5000 0.5000 0.3376
Dy 0.5000 0.0000 0.6533
Dy 0.0000 0.0000 0.1412
Dy 0.0000 0.5000 0.8705
Zn 0.0000 0.5000 0.5705
Zn 0.5000 0.0000 0.9321
Zn 0.0000 0.0000 0.4265
Ni 0.5000 0.5000 0.0682

***

The most stable of them is run 1.

***

Run 1
## Dy2ZnNi (PBE)

Data for crystalline Dy2ZnNi at its relaxed geometry.

Properties
Crystal system: cubic
N(E_F): 2.3 states/eV per cell
Space group: Fm-3m, No. 225
Total magnetic moment: 0.0 μB per formula unit

abc: 4.9064 4.9064 4.9064
angles: 60.00 60.00 60.00
Fractional positions:
Dy 0.7500 0.7500 0.7500
Dy 0.2500 0.2500 0.2500
Ni 0.5000 0.5000 0.5000
Zn 0.0000 0.0000 0.0000

***

Run 2
## Dy2ZnNi (PBE)

Data for crystalline Dy2ZnNi at its relaxed geometry.

Properties
Crystal system: trigonal
N(E_F): 2.6 states/eV per cell
Space group: R-3m, No. 166
Total magnetic moment: 0.0 μB per formula unit

abc: 3.9001 3.9001 9.3507
angles: 77.96 77.96 60.00
Fractional positions:
Dy 0.8861 0.8861 0.3416
Zn 0.0000 0.0000 0.0000
Dy 0.1139 0.1139 0.6584
Ni 0.5000 0.5000 0.5000

***

The most stable of them is run 1.

***

Run 1
## Dy3ZnNi (PBE)

Data for crystalline Dy3ZnNi at its relaxed geometry.

Properties
Crystal system: monoclinic
N(E_F): 20.7 states/eV per cell
Space group: P2_1/c, No. 14
Total magnetic moment: 0.0 μB per formula unit

abc: 7.0192 8.8309 7.9759
angles: 100.90 90.00 90.00
Fractional positions:
Dy 0.6762 0.3390 0.9632
Dy 0.6500 0.7331 0.4094
Dy 0.8500 0.7331 0.9094
Zn 0.4516 0.4337 0.3055
Dy 0.9897 0.0461 0.7144
Zn 0.5484 0.5663 0.6945
Ni 0.1757 0.9389 0.9793
Dy 0.8238 0.3390 0.4632
Dy 0.5103 0.0461 0.2144
Dy 0.3500 0.2669 0.5906
Dy 0.3238 0.6610 0.0368
Dy 0.4897 0.9539 0.7856
Dy 0.1762 0.6610 0.5368
Ni 0.3243 0.9389 0.4793
Dy 0.0103 0.9539 0.2856
Zn 0.0484 0.4337 0.8055
Zn 0.9516 0.5663 0.1945
Ni 0.8243 0.0611 0.0207
Dy 0.1500 0.2669 0.0906
Ni 0.6757 0.0611 0.5207

***

Run 2
## Dy3ZnNi (PBE)

Data for crystalline Dy3ZnNi at its relaxed geometry.

Properties
Crystal system: monoclinic
N(E_F): 8.7 states/eV per cell
Space group: C2/m, No. 12
Total magnetic moment: 0.0 μB per formula unit

abc: 5.5760 5.5760 9.1890
angles: 65.93 65.93 69.47
Fractional positions:
Dy 0.9185 0.9185 0.2911
Dy 0.2998 0.2998 0.9013
Zn 0.3064 0.6936 0.5000
Dy 0.2901 0.2901 0.2938
Zn 0.6936 0.3064 0.5000
Ni 0.7488 0.2512 0.0000
Dy 0.7002 0.7002 0.0987
Ni 0.2512 0.7488 0.0000
Dy 0.0815 0.0815 0.7089
Dy 0.7099 0.7099 0.7062

***

The most stable of them is run 1.